*a*
VASP calculation (PBE) on a relaxed MnVSe2N crystal.

Calculated values
Space-group type   P4/mmm (123)
Crystal system   tetragonal
M_tot   2.1 μB per formula unit

Cell: 4.9118 4.9118 3.4358 Å, 90.00 90.00 90.00°
Last column: nearest neighbours and their distance in Å.
Fractional positions:
Mn: 0.0000 0.0000 0.0000  2 N 1.72
V: 0.5000 0.5000 0.5000  8 Se 3.00
Se: 0.0000 0.5000 0.0000  2 Mn 2.46
Se: 0.5000 0.0000 0.0000  2 Mn 2.46
N: 0.0000 0.0000 0.5000  2 Mn 1.72

=====

*b*
VASP calculation (PBE) on a relaxed MnVSe2N crystal.

Calculated values
Space-group type   P4/mmm (123)
Crystal system   tetragonal
M_tot   5.1 μB per formula unit

Cell: 4.9972 4.9972 3.6202 Å, 90.00 90.00 90.00°
Last column: nearest neighbours and their distance in Å.
Fractional positions:
Mn: 0.0000 0.0000 0.0000  8 Se 3.09
V: 0.5000 0.5000 0.5000  2 N 1.81
Se: 0.0000 0.5000 0.5000  2 V 2.50
Se: 0.5000 0.0000 0.5000  2 V 2.50
N: 0.5000 0.5000 0.0000  2 V 1.81

=====

Q: Which of them is the most stable? A: *b*.

=====

*a*
VASP calculation (PBE) on a relaxed MnVSeN2 crystal.

Calculated values
Space-group type   P4/mmm (123)
Crystal system   tetragonal
M_tot   0.0 μB per formula unit

Cell: 3.5964 3.5964 5.0902 Å, 90.00 90.00 90.00°
Last column: nearest neighbours and their distance in Å.
Fractional positions:
Mn: 0.0000 0.0000 0.0000  4 N 1.80
V: 0.5000 0.5000 0.5000  4 Se 2.54
Se: 0.0000 0.0000 0.5000  4 V 2.54, 2 Mn 2.55
N: 0.0000 0.5000 0.0000  2 Mn 1.80
N: 0.5000 0.0000 0.0000  2 Mn 1.80

=====

*b*
VASP calculation (PBE) on a relaxed MnVSeN2 crystal.

Calculated values
Space-group type   P4/mmm (123)
Crystal system   tetragonal
M_tot   4.7 μB per formula unit

Cell: 3.7470 3.7470 5.2854 Å, 90.00 90.00 90.00°
Last column: nearest neighbours and their distance in Å.
Fractional positions:
Mn: 0.0000 0.0000 0.0000  4 Se 2.65
V: 0.5000 0.5000 0.5000  4 N 1.87
Se: 0.5000 0.5000 0.0000  2 V 2.64, 4 Mn 2.65
N: 0.0000 0.5000 0.5000  2 V 1.87
N: 0.5000 0.0000 0.5000  2 V 1.87

=====

Q: Which of them is the most stable? A: *b*.

=====

*a*
VASP calculation (PBE) on a relaxed YMnSeN2 crystal.

Calculated values
Space-group type   P4/mmm (123)
Crystal system   tetragonal
M_tot   2.9 μB per formula unit

Cell: 4.3436 4.3436 5.6602 Å, 90.00 90.00 90.00°
Last column: nearest neighbours and their distance in Å.
Fractional positions:
Y: 0.0000 0.0000 0.0000  4 N 2.17
Mn: 0.5000 0.5000 0.5000  4 Se 3.07
Se: 0.0000 0.0000 0.5000  2 Y 2.83, 4 Mn 3.07
N: 0.0000 0.5000 0.0000  2 Y 2.17
N: 0.5000 0.0000 0.0000  2 Y 2.17

=====

*b*
VASP calculation (PBE) on a relaxed YMnSeN2 crystal.

Calculated values
Space-group type   P4/mmm (123)
Crystal system   tetragonal
M_tot   0.1 μB per formula unit

Cell: 3.8149 3.8149 4.9346 Å, 90.00 90.00 90.00°
Last column: nearest neighbours and their distance in Å.
Fractional positions:
Y: 0.0000 0.0000 0.0000  4 Se 2.70
Mn: 0.5000 0.5000 0.5000  4 N 1.91
Se: 0.5000 0.5000 0.0000  2 Mn 2.47, 4 Y 2.70
N: 0.0000 0.5000 0.5000  2 Mn 1.91
N: 0.5000 0.0000 0.5000  2 Mn 1.91

=====

Q: Which of them is the most stable? A: *b*.

=====

*a*
VASP calculation (PBE) on a relaxed ZrMnSeN2 crystal.

Calculated values
Space-group type   P4/mmm (123)
Crystal system   tetragonal
M_tot   0.6 μB per formula unit

Cell: 3.7580 3.7580 4.7742 Å, 90.00 90.00 90.00°
Last column: nearest neighbours and their distance in Å.
Fractional positions:
Zr: 0.0000 0.0000 0.0000  4 Se 2.66
Mn: 0.5000 0.5000 0.5000  4 N 1.88
Se: 0.5000 0.5000 0.0000  2 Mn 2.39, 4 Zr 2.66
N: 0.0000 0.5000 0.5000  2 Mn 1.88
N: 0.5000 0.0000 0.5000  2 Mn 1.88

=====

*b*
VASP calculation (PBE) on a relaxed ZrMnSeN2 crystal.

Calculated values
Space-group type   P4/mmm (123)
Crystal system   tetragonal
M_tot   4.5 μB per formula unit

Cell: 4.1014 4.1014 5.6638 Å, 90.00 90.00 90.00°
Last column: nearest neighbours and their distance in Å.
Fractional positions:
Zr: 0.0000 0.0000 0.0000  4 N 2.05
Mn: 0.5000 0.5000 0.5000  4 Se 2.90
Se: 0.0000 0.0000 0.5000  2 Zr 2.83, 4 Mn 2.90
N: 0.0000 0.5000 0.0000  2 Zr 2.05
N: 0.5000 0.0000 0.0000  2 Zr 2.05

=====

Q: Which of them is the most stable? A: *a*.

=====

*a*
VASP calculation (PBE) on a relaxed Mn2Si2N crystal.

Calculated values
Space-group type   I4/mmm (139)
Crystal system   tetragonal
M_tot   0.0 μB per formula unit

Cell: 3.0844 3.0844 12.4082 Å, 90.00 90.00 90.00°
Last column: nearest neighbours and their distance in Å.
Fractional positions:
Mn: 0.0000 0.5000 0.2500  4 Mn 2.18
Mn: 0.0000 0.5000 0.7500  4 Mn 2.18
Mn: 0.5000 0.0000 0.2500  4 Mn 2.18
Mn: 0.5000 0.0000 0.7500  4 Mn 2.18
Si: 0.0000 0.0000 0.0930  1 Si 2.31, 4 N 2.47, 4 Mn 2.48
Si: 0.0000 0.0000 0.9070  1 Si 2.31, 4 N 2.47, 4 Mn 2.48
Si: 0.5000 0.5000 0.4070  1 Si 2.31, 4 N 2.47, 4 Mn 2.48
Si: 0.5000 0.5000 0.5930  1 Si 2.31, 4 N 2.47, 4 Mn 2.48
N: 0.0000 0.0000 0.5000  8 Si 2.47
N: 0.5000 0.5000 0.0000  8 Si 2.47

=====

*b*
VASP calculation (PBE) on a relaxed Mn2Si2N crystal.

Calculated values
Space-group type   P4/mbm (127)
Crystal system   tetragonal
M_tot   6.0 μB per formula unit

Cell: 5.3973 5.3973 4.0903 Å, 90.00 90.00 90.00°
Last column: nearest neighbours and their distance in Å.
Fractional positions:
Mn: 0.1632 0.3368 0.0000  6 Si 2.45-2.69, 1 Mn 2.49
Mn: 0.3368 0.8368 0.0000  6 Si 2.45-2.69, 1 Mn 2.49
Mn: 0.6632 0.1632 0.0000  6 Si 2.45-2.69, 1 Mn 2.49
Mn: 0.8368 0.6632 0.0000  6 Si 2.45-2.69, 1 Mn 2.49
Si: 0.1607 0.6607 0.5000  2 N 2.03
Si: 0.3393 0.1607 0.5000  2 N 2.03
Si: 0.6607 0.8393 0.5000  2 N 2.03
Si: 0.8393 0.3393 0.5000  2 N 2.03
N: 0.0000 0.0000 0.5000  4 Si 2.03
N: 0.5000 0.5000 0.5000  4 Si 2.03

=====

Q: Which of them is the most stable? A: *b*.

=====

*a*
VASP calculation (PBE) on a relaxed MnSi3N crystal.

Calculated values
Space-group type   Pm-3m (221)
Crystal system   cubic
M_tot   2.8 μB per formula unit

Cell: 3.9407 3.9407 3.9407 Å, 90.00 90.00 90.00°
Last column: nearest neighbours and their distance in Å.
Fractional positions:
Mn: 0.0000 0.0000 0.0000  12 Si 2.79
Si: 0.0000 0.5000 0.5000  2 N 1.97
Si: 0.5000 0.0000 0.5000  2 N 1.97
Si: 0.5000 0.5000 0.0000  2 N 1.97
N: 0.5000 0.5000 0.5000  6 Si 1.97

=====

*b*
VASP calculation (PBE) on a relaxed MnSi3N crystal.

Calculated values
Space-group type   Pm-3m (221)
Crystal system   cubic
M_tot   2.0 μB per formula unit

Cell: 4.3220 4.3220 4.3220 Å, 90.00 90.00 90.00°
Last column: nearest neighbours and their distance in Å.
Fractional positions:
Mn: 0.0000 0.0000 0.0000  6 Si 2.16
Si: 0.0000 0.0000 0.5000  2 Mn 2.16
Si: 0.0000 0.5000 0.0000  2 Mn 2.16
Si: 0.5000 0.0000 0.0000  2 Mn 2.16
N: 0.5000 0.5000 0.5000  12 Si 3.06

=====

Q: Which of them is the most stable? A: *a*.

=====

*a*
VASP calculation (PBE) on a relaxed MnSiTeN2 crystal.

Calculated values
Space-group type   P4/mmm (123)
Crystal system   tetragonal
M_tot   0.1 μB per formula unit

Cell: 3.7313 3.7313 5.3844 Å, 90.00 90.00 90.00°
Last column: nearest neighbours and their distance in Å.
Fractional positions:
Mn: 0.0000 0.0000 0.0000  4 N 1.87
Si: 0.5000 0.5000 0.5000  4 Te 2.64
Te: 0.0000 0.0000 0.5000  4 Si 2.64, 2 Mn 2.69
N: 0.0000 0.5000 0.0000  2 Mn 1.87
N: 0.5000 0.0000 0.0000  2 Mn 1.87

=====

*b*
VASP calculation (PBE) on a relaxed MnSiTeN2 crystal.

Calculated values
Space-group type   P4/mmm (123)
Crystal system   tetragonal
M_tot   4.7 μB per formula unit

Cell: 3.5909 3.5909 6.5628 Å, 90.00 90.00 90.00°
Last column: nearest neighbours and their distance in Å.
Fractional positions:
Mn: 0.0000 0.0000 0.0000  4 Te 2.54
Si: 0.5000 0.5000 0.5000  4 N 1.80
Te: 0.5000 0.5000 0.0000  4 Mn 2.54
N: 0.0000 0.5000 0.5000  2 Si 1.80
N: 0.5000 0.0000 0.5000  2 Si 1.80

=====

Q: Which of them is the most stable? A: *b*.

=====

*a*
VASP calculation (PBE) on a relaxed Sr3MnN3 crystal.

Calculated values
Space-group type   Pnma (62)
Crystal system   orthorhombic
M_tot   2.7 μB per formula unit

Cell: 16.7359 3.5789 10.8011 Å, 90.00 90.00 90.00°
Last column: nearest neighbours and their distance in Å.
Fractional positions:
Sr: 0.0649 0.2500 0.1086  4 N 2.54-2.66
Sr: 0.1081 0.7500 0.4816  3 N 2.53-2.76
Sr: 0.1647 0.7500 0.8028  4 N 2.55-2.82
Sr: 0.3353 0.2500 0.3028  4 N 2.55-2.82
Sr: 0.3919 0.2500 0.9816  3 N 2.53-2.76
Sr: 0.4351 0.7500 0.6086  4 N 2.54-2.66
Sr: 0.5649 0.2500 0.3914  4 N 2.54-2.66
Sr: 0.6081 0.7500 0.0184  3 N 2.53-2.76
Sr: 0.6647 0.7500 0.6972  4 N 2.55-2.82
Sr: 0.8353 0.2500 0.1972  4 N 2.55-2.82
Sr: 0.8919 0.2500 0.5184  3 N 2.53-2.76
Sr: 0.9351 0.7500 0.8914  4 N 2.54-2.66
Mn: 0.0318 0.2500 0.7035  4 N 1.77-1.97
Mn: 0.4682 0.7500 0.2035  4 N 1.77-1.97
Mn: 0.5318 0.2500 0.7965  4 N 1.77-1.97
Mn: 0.9682 0.7500 0.2965  4 N 1.77-1.97
N: 0.0091 0.2500 0.3389  2 Mn 1.97
N: 0.0420 0.2500 0.8699  1 Mn 1.80
N: 0.1303 0.2500 0.6432  1 Mn 1.77
N: 0.3697 0.7500 0.1432  1 Mn 1.77
N: 0.4580 0.7500 0.3699  1 Mn 1.80
N: 0.4909 0.7500 0.8389  2 Mn 1.97
N: 0.5091 0.2500 0.1611  2 Mn 1.97
N: 0.5420 0.2500 0.6301  1 Mn 1.80
N: 0.6303 0.2500 0.8568  1 Mn 1.77
N: 0.8697 0.7500 0.3568  1 Mn 1.77
N: 0.9580 0.7500 0.1301  1 Mn 1.80
N: 0.9909 0.7500 0.6611  2 Mn 1.97

=====

*b*
VASP calculation (PBE) on a relaxed Sr3MnN3 crystal.

Calculated values
Space-group type   P6_3/m (176)
Crystal system   hexagonal
M_tot   1.1 μB per formula unit

Cell: 7.7365 7.7365 5.2629 Å, 90.00 90.00 120.00°
Last column: nearest neighbours and their distance in Å.
Fractional positions:
Sr: 0.0852 0.3607 0.2500  5 N 2.67-2.89
Sr: 0.2754 0.9148 0.2500  5 N 2.67-2.89
Sr: 0.3607 0.2754 0.7500  5 N 2.67-2.89
Sr: 0.6393 0.7246 0.2500  5 N 2.67-2.89
Sr: 0.7246 0.0852 0.7500  5 N 2.67-2.89
Sr: 0.9148 0.6393 0.7500  5 N 2.67-2.89
Mn: 0.3333 0.6667 0.7500  3 N 1.74
Mn: 0.6667 0.3333 0.2500  3 N 1.74
N: 0.1206 0.4318 0.7500  1 Mn 1.74
N: 0.3111 0.8794 0.7500  1 Mn 1.74
N: 0.4318 0.3111 0.2500  1 Mn 1.74
N: 0.5682 0.6889 0.7500  1 Mn 1.74
N: 0.6889 0.1206 0.2500  1 Mn 1.74
N: 0.8794 0.5682 0.2500  1 Mn 1.74

=====

Q: Which of them is the most stable? A: *b*.

=====

*a*
VASP calculation (PBE) on a relaxed SrMnTe2N crystal.

Calculated values
Space-group type   P4/mmm (123)
Crystal system   tetragonal
M_tot   7.0 μB per formula unit

Cell: 6.1721 6.1721 4.7555 Å, 90.00 90.00 90.00°
Last column: nearest neighbours and their distance in Å.
Fractional positions:
Sr: 0.0000 0.0000 0.0000  2 N 2.38
Mn: 0.5000 0.5000 0.5000  8 Te 3.90
Te: 0.0000 0.5000 0.0000  2 Sr 3.09
Te: 0.5000 0.0000 0.0000  2 Sr 3.09
N: 0.0000 0.0000 0.5000  2 Sr 2.38

=====

*b*
VASP calculation (PBE) on a relaxed SrMnTe2N crystal.

Calculated values
Space-group type   P4/mmm (123)
Crystal system   tetragonal
M_tot   2.0 μB per formula unit

Cell: 5.6874 5.6874 3.6303 Å, 90.00 90.00 90.00°
Last column: nearest neighbours and their distance in Å.
Fractional positions:
Sr: 0.0000 0.0000 0.0000  8 Te 3.37, 2 Sr 3.63
Mn: 0.5000 0.5000 0.5000  2 N 1.82
Te: 0.0000 0.5000 0.5000  2 Mn 2.84
Te: 0.5000 0.0000 0.5000  2 Mn 2.84
N: 0.5000 0.5000 0.0000  2 Mn 1.82

=====

Q: Which of them is the most stable? A: *b*.

=====

*a*
VASP calculation (PBE) on a relaxed Ta3MnN crystal.

Calculated values
Space-group type   Pm-3m (221)
Crystal system   cubic
M_tot   2.7 μB per formula unit

Cell: 4.2251 4.2251 4.2251 Å, 90.00 90.00 90.00°
Last column: nearest neighbours and their distance in Å.
Fractional positions:
Ta: 0.0000 0.0000 0.5000  2 N 2.11
Ta: 0.0000 0.5000 0.0000  2 N 2.11
Ta: 0.5000 0.0000 0.0000  2 N 2.11
Mn: 0.5000 0.5000 0.5000  12 Ta 2.99
N: 0.0000 0.0000 0.0000  6 Ta 2.11

=====

*b*
VASP calculation (PBE) on a relaxed Ta3MnN crystal.

Calculated values
Space-group type   Pm-3m (221)
Crystal system   cubic
M_tot   0.0 μB per formula unit

Cell: 4.5413 4.5413 4.5413 Å, 90.00 90.00 90.00°
Last column: nearest neighbours and their distance in Å.
Fractional positions:
Ta: 0.0000 0.0000 0.5000  2 Mn 2.27
Ta: 0.0000 0.5000 0.0000  2 Mn 2.27
Ta: 0.5000 0.0000 0.0000  2 Mn 2.27
Mn: 0.0000 0.0000 0.0000  6 Ta 2.27
N: 0.5000 0.5000 0.5000  12 Ta 3.21

=====

Q: Which of them is the most stable? A: *a*.

=====

*a*
VASP calculation (PBE) on a relaxed Ta2MnN2 crystal.

Calculated values
Space-group type   P4/mbm (127)
Crystal system   tetragonal
M_tot   2.1 μB per formula unit

Cell: 6.4828 6.4828 2.7838 Å, 90.00 90.00 90.00°
Last column: nearest neighbours and their distance in Å.
Fractional positions:
Ta: 0.1545 0.3455 0.0000  6 N 2.34-2.37, 2 Mn 2.45
Ta: 0.3455 0.8455 0.0000  6 N 2.34-2.37, 2 Mn 2.45
Ta: 0.6545 0.1545 0.0000  6 N 2.34-2.37, 2 Mn 2.45
Ta: 0.8455 0.6545 0.0000  6 N 2.34-2.37, 2 Mn 2.45
Mn: 0.0000 0.0000 0.0000  4 Ta 2.45
Mn: 0.5000 0.5000 0.0000  4 Ta 2.45
N: 0.1358 0.6358 0.5000  6 Ta 2.34-2.37, 1 N 2.49
N: 0.3642 0.1358 0.5000  6 Ta 2.34-2.37, 1 N 2.49
N: 0.6358 0.8642 0.5000  6 Ta 2.34-2.37, 1 N 2.49
N: 0.8642 0.3642 0.5000  6 Ta 2.34-2.37, 1 N 2.49

=====

*b*
VASP calculation (PBE) on a relaxed Ta2MnN2 crystal.

Calculated values
Space-group type   I4/mmm (139)
Crystal system   tetragonal
M_tot   3.7 μB per formula unit

Cell: 3.8048 3.8048 9.2324 Å, 90.00 90.00 90.00°
Last column: nearest neighbours and their distance in Å.
Fractional positions:
Ta: 0.0000 0.0000 0.1530  4 N 2.10
Ta: 0.0000 0.0000 0.8470  4 N 2.10
Ta: 0.5000 0.5000 0.3470  4 N 2.10
Ta: 0.5000 0.5000 0.6530  4 N 2.10
Mn: 0.0000 0.0000 0.5000  8 N 2.99, 10 Ta 3.04-3.20
Mn: 0.5000 0.5000 0.0000  8 N 2.99, 10 Ta 3.04-3.20
N: 0.0000 0.5000 0.2500  4 Ta 2.10
N: 0.0000 0.5000 0.7500  4 Ta 2.10
N: 0.5000 0.0000 0.2500  4 Ta 2.10
N: 0.5000 0.0000 0.7500  4 Ta 2.10

=====

Q: Which of them is the most stable? A: *b*.

=====

*a*
VASP calculation (PBE) on a relaxed TaMnTe2N crystal.

Calculated values
Space-group type   P4/mmm (123)
Crystal system   tetragonal
M_tot   2.8 μB per formula unit

Cell: 5.2493 5.2493 3.4586 Å, 90.00 90.00 90.00°
Last column: nearest neighbours and their distance in Å.
Fractional positions:
Ta: 0.0000 0.0000 0.0000  8 Te 3.14, 2 Ta 3.46
Mn: 0.5000 0.5000 0.5000  2 N 1.73
Te: 0.0000 0.5000 0.5000  2 Mn 2.62
Te: 0.5000 0.0000 0.5000  2 Mn 2.62
N: 0.5000 0.5000 0.0000  2 Mn 1.73

=====

*b*
VASP calculation (PBE) on a relaxed TaMnTe2N crystal.

Calculated values
Space-group type   P4/mmm (123)
Crystal system   tetragonal
M_tot   5.0 μB per formula unit

Cell: 5.5679 5.5679 3.9011 Å, 90.00 90.00 90.00°
Last column: nearest neighbours and their distance in Å.
Fractional positions:
Ta: 0.0000 0.0000 0.0000  2 N 1.95
Mn: 0.5000 0.5000 0.5000  8 Te 3.40
Te: 0.0000 0.5000 0.0000  2 Ta 2.78
Te: 0.5000 0.0000 0.0000  2 Ta 2.78
N: 0.0000 0.0000 0.5000  2 Ta 1.95

=====

Q: Which of them is the most stable? A: *b*.